DFT (PBE) results for HfZr4Pt after structural relaxation.

It has space group C2/c (No. 15), with a = 7.9935 Å, b = 12.6912 Å, c = 5.5800 Å, α = 90.00°, β = 110.55° and γ = 90.00°. Symmetry generates all atoms from Hf at (0.0000, 0.1099, 0.2500), Zr at (0.1093, 0.3114, 0.5646), Zr at (0.2100, 0.0951, 0.8587) and Pt at (0.0000, 0.4944, 0.2500).

Its total magnetic moment is 0.000 μB/f.u. The density of states at the Fermi level is 0.910 states/eV/atom. The calculated formation energy is -0.263 eV per atom. As for the final energy: -8.6275 eV/atom.

DFT (PBE) results for HfZrPt after structural relaxation.

It has space group R3m (No. 160, hexagonal axes), with a = 3.4736 Å, b = 3.4736 Å, c = 18.6650 Å, α = 90.00°, β = 90.00° and γ = 120.00°. Symmetry generates all atoms from Hf at (0.0000, 0.0000, 0.0000), Zr at (0.0000, 0.0000, 0.7987) and Pt at (0.0000, 0.0000, 0.5708).

Its total magnetic moment is 0.000 μB/f.u. The density of states at the Fermi level is 0.725 states/eV/atom. The calculated formation energy is -0.485 eV per atom. As for the final energy: -8.6662 eV/atom.

DFT (PBE) results for Hf3ZrPt after structural relaxation.

It has space group P2_1/m (No. 11), with a = 6.4291 Å, b = 4.7167 Å, c = 7.1579 Å, α = 90.00°, β = 92.51° and γ = 90.00°. Symmetry generates all atoms from Hf at (0.0166, 0.2500, 0.3342), Hf at (0.1768, 0.7500, 0.0459), Hf at (0.4726, 0.2500, 0.2902), Zr at (0.2660, 0.2500, 0.7802) and Pt at (0.2657, 0.7500, 0.4101).

Its total magnetic moment is 0.000 μB/f.u. The density of states at the Fermi level is 0.630 states/eV/atom. The calculated formation energy is -0.374 eV per atom. As for the final energy: -9.2643 eV/atom.

DFT (PBE) results for HfZr2Pt after structural relaxation.

It has space group P6_222 (No. 180), with a = 6.5296 Å, b = 6.5296 Å, c = 8.0045 Å, α = 90.00°, β = 90.00° and γ = 120.00°. Symmetry generates all atoms from Hf at (0.0000, 0.5000, 0.1667), Zr at (0.1248, 0.2495, 0.5000) and Pt at (0.0000, 0.5000, 0.6667).

Its total magnetic moment is 0.000 μB/f.u. The density of states at the Fermi level is 1.320 states/eV/atom. The calculated formation energy is 0.228 eV per atom. As for the final energy: -8.0442 eV/atom.

DFT (PBE) results for HfZr2Pt2 after structural relaxation.

It has space group P4/mbm (No. 127), with a = 7.5834 Å, b = 7.5834 Å, c = 3.4780 Å, α = 90.00°, β = 90.00° and γ = 90.00°. Symmetry generates all atoms from Hf at (0.0000, 0.0000, 0.0000), Zr at (0.1699, 0.3301, 0.5000) and Pt at (0.1311, 0.6311, 0.0000).

Its total magnetic moment is 0.000 μB/f.u. The density of states at the Fermi level is 1.525 states/eV/atom. The calculated formation energy is -0.847 eV per atom. As for the final energy: -8.6728 eV/atom.

DFT (PBE) results for Hf2ZrPt after structural relaxation.

It has space group I-42d (No. 122), with a = 7.8037 Å, b = 7.8037 Å, c = 5.8357 Å, α = 90.00°, β = 90.00° and γ = 90.00°. Symmetry generates all atoms from Hf at (0.2048, 0.2500, 0.1250), Zr at (0.0000, 0.0000, 0.5000) and Pt at (0.0000, 0.0000, 0.0000).

Its total magnetic moment is 0.000 μB/f.u. The density of states at the Fermi level is 0.731 states/eV/atom. The calculated formation energy is -0.212 eV per atom. As for the final energy: -8.8364 eV/atom.

- calculated formation energy of number 4 (HfZr2Pt)?
  0.228 eV per atom